i) Entry from the Alexandria database: crystalline GdTh2Sb at its relaxed geometry (PBE-GGA).

Cell: 5.546 5.546 5.547 Å, 60.00 60.00 60.00°
Atoms (fractional coordinates):
Sb 0.500 0.500 0.500
Gd 0.000 0.000 0.000
Th 0.250 0.250 0.250
Th 0.750 0.750 0.750

Values from the calculation:
Total moment ... 8.66 μB per cell
Symmetry ... Fm-3m



ii) Entry from the Alexandria database: crystalline GdTh2Sb at its relaxed geometry (PBE-GGA).

Cell: 5.133 4.757 4.757 Å, 90.00 90.00 90.00°
Atoms (fractional coordinates):
Sb 0.500 0.000 0.000
Gd 0.500 0.500 0.500
Th 0.000 0.000 0.500
Th 0.000 0.500 0.000

Values from the calculation:
Total moment ... 7.16 μB per cell
Symmetry ... P4/mmm



ii) is favored, and the nearest alternative lies 28.7 kJ/mol of atoms above it.



i) Entry from the Alexandria database: crystalline GdThSb2 at its relaxed geometry (PBE-GGA).

Cell: 4.471 4.471 7.722 Å, 73.17 73.17 60.00°
Atoms (fractional coordinates):
Sb 0.748 0.748 0.756
Sb 0.252 0.252 0.244
Gd 0.000 0.000 0.000
Th 0.500 0.500 0.500

Values from the calculation:
Total moment ... 6.87 μB per cell
Symmetry ... R-3m



ii) Entry from the Alexandria database: crystalline GdThSb2 at its relaxed geometry (PBE-GGA).

Cell: 3.859 5.433 5.433 Å, 90.00 90.00 90.00°
Atoms (fractional coordinates):
Sb 0.000 0.000 0.500
Sb 0.000 0.500 0.000
Gd 0.500 0.500 0.500
Th 0.500 0.000 0.000

Values from the calculation:
Total moment ... 7.67 μB per cell
Symmetry ... P4/mmm



i) is favored, and the nearest alternative lies 20.1 kJ/mol of atoms above it.